DFT (PBE) results for crystalline CoAg2Ir at its relaxed geometry.

CIF file:
```
data_CoAg2Ir
_chemical_formula_sum 'Co4 Ag8 Ir4'
_cell_length_a 6.262
_cell_length_b 6.262
_cell_length_c 6.262
_cell_angle_alpha 90.00
_cell_angle_beta 90.00
_cell_angle_gamma 90.00
_space_group_name_H-M_alt 'F -4 3 m'
_space_group_IT_number 216
_space_group_name_Hall 'F -4 2 3'
loop_
_atom_site_label
_atom_site_fract_x
_atom_site_fract_y
_atom_site_fract_z
Co1 0.000 0.000 0.000
Ag1 0.000 0.000 0.500
Ag2 0.250 0.250 0.750
Ir1 0.250 0.250 0.250
```

Calculated values
VASP energy = -78.404 eV per cell
V = 15.35 A^3/atom



DFT (PBE) results for crystalline CoAgIr2 at its relaxed geometry.

CIF file:
```
data_CoAgIr2
_chemical_formula_sum 'Co4 Ag4 Ir8'
_cell_length_a 6.180
_cell_length_b 6.180
_cell_length_c 6.180
_cell_angle_alpha 90.00
_cell_angle_beta 90.00
_cell_angle_gamma 90.00
_space_group_name_H-M_alt 'F -4 3 m'
_space_group_IT_number 216
_space_group_name_Hall 'F -4 2 3'
loop_
_atom_site_label
_atom_site_fract_x
_atom_site_fract_y
_atom_site_fract_z
Co1 0.000 0.000 0.000
Ag1 0.250 0.250 0.750
Ir1 0.000 0.000 0.500
Ir2 0.250 0.250 0.250
```

Calculated values
VASP energy = -101.810 eV per cell
V = 14.75 A^3/atom



DFT (PBE) results for crystalline CoAgIrPb at its relaxed geometry.

CIF file:
```
data_CoAgIrPb
_chemical_formula_sum 'Co4 Ag4 Ir4 Pb4'
_cell_length_a 6.434
_cell_length_b 6.434
_cell_length_c 6.434
_cell_angle_alpha 90.00
_cell_angle_beta 90.00
_cell_angle_gamma 90.00
_space_group_name_H-M_alt 'F -4 3 m'
_space_group_IT_number 216
_space_group_name_Hall 'F -4 2 3'
loop_
_atom_site_label
_atom_site_fract_x
_atom_site_fract_y
_atom_site_fract_z
Co1 0.000 0.000 0.000
Ag1 0.250 0.250 0.250
Ir1 0.000 0.000 0.500
Pb1 0.250 0.250 0.750
```

Calculated values
V = 16.65 A^3/atom
energy above the lowest structure with this stoichiometry = 0 meV per atom



DFT (PBE) results for crystalline CoAgSbIr at its relaxed geometry.

CIF file:
```
data_CoAgSbIr
_chemical_formula_sum 'Co4 Ag4 Sb4 Ir4'
_cell_length_a 6.334
_cell_length_b 6.334
_cell_length_c 6.334
_cell_angle_alpha 90.00
_cell_angle_beta 90.00
_cell_angle_gamma 90.00
_space_group_name_H-M_alt 'F -4 3 m'
_space_group_IT_number 216
_space_group_name_Hall 'F -4 2 3'
loop_
_atom_site_label
_atom_site_fract_x
_atom_site_fract_y
_atom_site_fract_z
Co1 0.000 0.000 0.000
Ag1 0.250 0.250 0.250
Sb1 0.250 0.250 0.750
Ir1 0.000 0.000 0.500
```

Calculated values
V = 15.88 A^3/atom
energy above the lowest structure with this stoichiometry = 0 meV per atom



DFT (PBE) results for crystalline TlCoAgIr at its relaxed geometry.

CIF file:
```
data_TlCoAgIr
_chemical_formula_sum 'Tl4 Co4 Ag4 Ir4'
_cell_length_a 6.406
_cell_length_b 6.406
_cell_length_c 6.406
_cell_angle_alpha 90.00
_cell_angle_beta 90.00
_cell_angle_gamma 90.00
_space_group_name_H-M_alt 'F -4 3 m'
_space_group_IT_number 216
_space_group_name_Hall 'F -4 2 3'
loop_
_atom_site_label
_atom_site_fract_x
_atom_site_fract_y
_atom_site_fract_z
Tl1 0.000 0.000 0.000
Co1 0.250 0.250 0.250
Ag1 0.000 0.000 0.500
Ir1 0.250 0.250 0.750
```

Calculated values
V = 16.43 A^3/atom
energy above the lowest structure with this stoichiometry = 0 meV per atom



DFT (PBE) results for crystalline ZnCoAgIr at its relaxed geometry.

CIF file:
```
data_ZnCoAgIr
_chemical_formula_sum 'Zn4 Co4 Ag4 Ir4'
_cell_length_a 6.142
_cell_length_b 6.142
_cell_length_c 6.142
_cell_angle_alpha 90.00
_cell_angle_beta 90.00
_cell_angle_gamma 90.00
_space_group_name_H-M_alt 'F -4 3 m'
_space_group_IT_number 216
_space_group_name_Hall 'F -4 2 3'
loop_
_atom_site_label
_atom_site_fract_x
_atom_site_fract_y
_atom_site_fract_z
Zn1 0.000 0.000 0.000
Co1 0.250 0.250 0.250
Ag1 0.250 0.250 0.750
Ir1 0.000 0.000 0.500
```

Calculated values
V = 14.48 A^3/atom
energy above the lowest structure with this stoichiometry = 0 meV per atom



> Among the records above, which one has the highest V?

CoAgIrPb



Repeat the first record exactly.
DFT (PBE) results for crystalline CoAg2Ir at its relaxed geometry.

CIF file:
```
data_CoAg2Ir
_chemical_formula_sum 'Co4 Ag8 Ir4'
_cell_length_a 6.262
_cell_length_b 6.262
_cell_length_c 6.262
_cell_angle_alpha 90.00
_cell_angle_beta 90.00
_cell_angle_gamma 90.00
_space_group_name_H-M_alt 'F -4 3 m'
_space_group_IT_number 216
_space_group_name_Hall 'F -4 2 3'
loop_
_atom_site_label
_atom_site_fract_x
_atom_site_fract_y
_atom_site_fract_z
Co1 0.000 0.000 0.000
Ag1 0.000 0.000 0.500
Ag2 0.250 0.250 0.750
Ir1 0.250 0.250 0.250
```

Calculated values
VASP energy = -78.404 eV per cell
V = 15.35 A^3/atom



> V of number 3 (CoAgIrPb)?

16.65 A^3/atom



> Which formula does entry 4 have?

CoAgSbIr